Material: Sm3YO
Method: DFT, PBE
State: optimized geometry

Computed properties:
**E**: -31.11 eV per cell
**Size of the total moment**: 0.0 μB per cell
**Uncorrected formation energy**: -5.527 eV per formula unit

Geometry as CIF:
```
data_Sm3YO
_chemical_formula_sum 'Sm3 Y1 O1'
_space_group_name_H-M_alt 'P m -3 m'
_space_group_IT_number 221
_space_group_name_Hall '-P 4 2 3'
_cell_length_a 5.042
_cell_length_b 5.042
_cell_length_c 5.042
_cell_angle_alpha 90.00
_cell_angle_beta 90.00
_cell_angle_gamma 90.00
loop_
_atom_site_label
_atom_site_type_symbol
_atom_site_fract_x
_atom_site_fract_y
_atom_site_fract_z
Sm1 Sm 0.000 0.000 0.500
Y1 Y 0.500 0.500 0.500
O1 O 0.000 0.000 0.000
```



Material: SmY2O
Method: DFT, PBE
State: optimized geometry

Computed properties:
**E**: -25.83 eV per cell
**Size of the total moment**: 0.0 μB per cell
**E above lowest polymorph**: 547 meV per atom
**Uncorrected formation energy**: -3.221 eV per formula unit

Geometry as CIF:
```
data_SmY2O
_chemical_formula_sum 'Sm1 Y2 O1'
_space_group_name_H-M_alt 'P 4/m m m'
_space_group_IT_number 123
_space_group_name_Hall '-P 4 2'
_cell_length_a 3.199
_cell_length_b 3.199
_cell_length_c 8.859
_cell_angle_alpha 90.00
_cell_angle_beta 90.00
_cell_angle_gamma 90.00
loop_
_atom_site_label
_atom_site_type_symbol
_atom_site_fract_x
_atom_site_fract_y
_atom_site_fract_z
Sm1 Sm 0.000 0.000 0.000
Y1 Y 0.500 0.500 0.326
O1 O 0.000 0.000 0.500
```



Material: Sm3Y5O12
Method: DFT, PBE
State: optimized geometry

Computed properties:
**E**: -704.26 eV per cell
**Size of the total moment**: 0.0 μB per cell
**E above lowest polymorph**: 0 meV per atom
**Uncorrected formation energy**: -70.088 eV per formula unit

Geometry as CIF:
```
data_Sm3Y5O12
_chemical_formula_sum 'Sm12 Y20 O48'
_space_group_name_H-M_alt 'I 21 21 21'
_space_group_IT_number 24
_space_group_name_Hall 'I 2b 2c'
_cell_length_a 10.811
_cell_length_b 10.812
_cell_length_c 10.820
_cell_angle_alpha 90.00
_cell_angle_beta 90.00
_cell_angle_gamma 90.00
loop_
_atom_site_label
_atom_site_type_symbol
_atom_site_fract_x
_atom_site_fract_y
_atom_site_fract_z
Sm1 Sm 0.000 0.250 0.031
Sm2 Sm 0.250 0.251 0.252
Y1 Y 0.000 0.250 0.531
Y2 Y 0.031 0.500 0.750
Y3 Y 0.033 0.000 0.250
Y4 Y 0.250 0.032 0.500
Y5 Y 0.250 0.470 0.000
O1 O 0.107 0.150 0.381
O2 O 0.109 0.353 0.878
O3 O 0.119 0.107 0.649
O4 O 0.120 0.395 0.150
O5 O 0.149 0.380 0.606
O6 O 0.152 0.118 0.110
```